[1]
Crystalline BaZnBi at its relaxed geometry, computed with GGA-PBE.

extended XYZ file:
```
3
Lattice="5.1318 0.0000 0.0000 0.0000 4.7973 0.0000 0.0000 -2.3986 4.1546" Properties=species:S:1:pos:R:3 pbc="T T T"
Bi 1.0922 0.0000 2.7697
Zn 0.4913 0.0000 0.0000
Ba 3.5483 2.3987 1.3849
```

Output
formation energy from the elements = -525 meV/atom
DFT total energy = -8.65 eV/f.u.

***

[2]
Crystalline NdTiTe2 at its relaxed geometry, computed with GGA-PBE.

extended XYZ file:
```
4
Lattice="3.8286 0.0000 0.0000 1.9143 3.3156 0.0000 1.9143 1.1052 9.7525" Properties=species:S:1:pos:R:3 pbc="T T T"
Nd 0.0000 0.0000 0.0000
Te 1.9143 1.1052 6.5861
Ti 3.8286 2.2104 4.8762
Te 5.7428 3.3156 3.1663
```

Output
raw formation energy = -0.530 eV/atom
DFT total energy = -21.07 eV/f.u.

***

[3]
Crystalline CeSmTe2 at its relaxed geometry, computed with GGA-PBE.

extended XYZ file:
```
16
Lattice="-3.9559 3.1366 3.7989 -4.8539 -3.3148 -2.3176 1.6779 -8.7395 8.9631" Properties=species:S:1:pos:R:3 pbc="T T T"
Ce -0.3655 -2.4909 4.3152
Te -5.6387 -3.6105 -0.2495
Te -1.9444 -8.5153 7.6205
Te 0.0658 -4.6905 6.5558
Te -5.1874 -0.4024 2.8239
Te -4.3400 -4.7630 7.2800
Sm -4.3684 -10.1827 6.4703
Ce -3.2096 -1.9606 0.9158
Te -7.1976 -4.2273 3.8885
Te -2.7918 -4.1547 3.1644
Te -1.4932 -5.3072 10.6938
Sm -4.7698 -2.5782 5.0580
Sm -2.3620 -6.3395 5.3864
Ce -3.9222 -6.9571 9.5286
Sm -2.7634 1.2650 3.9741
Ce -6.7663 -6.4268 6.1291
```

Output
energy relative to the lowest polymorph listed for this composition = 0.11 kcal/mol of atoms
raw formation energy = -1.380 eV/atom
DFT total energy = -22.46 eV/f.u.

***

[4]
Crystalline Cd2TeAu at its relaxed geometry, computed with GGA-PBE.

extended XYZ file:
```
4
Lattice="-4.2590 2.2834 -1.5773 -0.9439 -2.7333 4.1809 -0.0826 3.1315 2.7758" Properties=species:S:1:pos:R:3 pbc="T T T"
Te -2.1708 2.7074 0.5992
Cd -2.6015 -0.2249 1.3018
Cd 0.0000 0.0000 0.0000
Au -0.5133 0.1991 3.4783
```

Output
raw formation energy = -0.005 eV/atom
DFT total energy = -8.27 eV/f.u.

***

[5]
Crystalline TcTe2 at its relaxed geometry, computed with GGA-PBE.

extended XYZ file:
```
3
Lattice="7.3903 0.0351 0.0000 5.9575 4.3734 0.0000 -6.6739 -2.2042 2.2844" Properties=species:S:1:pos:R:3 pbc="T T T"
Te 8.2804 2.7348 0.0000
Tc 0.0000 0.0000 0.0000
Te 5.0675 1.6737 0.0000
```

Output
raw formation energy = 0.040 eV/atom
DFT total energy = -16.53 eV/f.u.

***

[6]
Crystalline NdSiBRh3 at its relaxed geometry, computed with GGA-PBE.

extended XYZ file:
```
12
Lattice="-3.7245 0.9861 4.2919 2.2053 -4.4289 2.9313 2.8594 5.9022 1.1254" Properties=species:S:1:pos:R:3 pbc="T T T"
Rh -1.3076 -0.6210 2.8832
Rh 0.5547 -1.1140 0.7373
B 2.0938 2.0476 7.1595
Rh -0.2116 -2.8219 4.3400
B -0.7536 0.4118 1.1891
Si -0.8013 -0.6470 5.2662
Nd -0.7693 2.6235 4.5425
Nd 2.1096 -0.1641 3.8060
Rh 1.6506 -3.3149 2.1940
Rh 0.7248 0.7734 6.2642
Si 2.1415 3.1064 3.0824
Rh 0.6154 1.6860 2.0843
```

Output
raw formation energy = -0.751 eV/atom
DFT total energy = -43.43 eV/f.u.

***

[7]
Crystalline Tl2InSn3 at its relaxed geometry, computed with GGA-PBE.

extended XYZ file:
```
12
Lattice="-1.2949 1.6922 6.0251 1.6351 -6.0479 1.2618 7.9799 3.1262 -0.1712" Properties=species:S:1:pos:R:3 pbc="T T T"
Tl 2.3853 1.5018 3.8770
Sn 0.5329 -3.9078 5.0362
Sn 4.0203 -1.0173 5.7675
Sn 2.3889 -1.9875 3.2369
Sn 5.9313 0.7579 3.8789
Tl 5.9349 -2.7314 3.2387
In 4.9392 3.3787 5.4917
Sn 4.2998 -0.2122 1.3483
In 3.3810 -4.6082 1.6240
Tl 7.8600 -0.8573 1.3776
Sn 7.7873 2.6782 2.0795
Tl 0.4602 -0.3723 5.7381
```

Output
energy relative to the lowest polymorph listed for this composition = 0.00 kcal/mol of atoms
formation energy from the elements = 19 meV/atom
DFT total energy = -19.36 eV/f.u.

***

[8]
Crystalline Ca2PuGe3Ir4 at its relaxed geometry, computed with GGA-PBE.

extended XYZ file:
```
10
Lattice="4.2341 0.0000 0.0000 0.0000 4.2341 0.0000 0.0000 0.0000 10.9994" Properties=species:S:1:pos:R:3 pbc="T T T"
Ir 0.0000 0.0000 0.0000
Pu 2.1171 2.1171 5.4997
Ge 0.0000 2.1171 1.3403
Ir 2.1171 2.1171 0.0000
Ir 2.1171 0.0000 7.1706
Ca 2.1171 0.0000 2.5171
Ir 0.0000 2.1171 3.8289
Ca 0.0000 2.1171 8.4824
Ge 2.1171 0.0000 9.6592
Ge 0.0000 0.0000 5.4997
```

Output
formation energy from the elements = -592 meV/atom
DFT total energy = -73.55 eV/f.u.

***

The highest DFT total energy belongs to which entry?
Cd2TeAu

***

Which formula does entry 2 have?
NdTiTe2